## one
## FeCu2Re (PBEsol)

Data for a relaxed structure of FeCu2Re.

Properties
Total magnetization (μB per formula unit): 2.64

a = 4.623 Å, b = 4.623 Å, c = 2.501 Å
α = 90.00°, β = 90.00°, γ = 113.23°
Fractional coordinates of all 4 atoms:
Fe 0.000 0.000 0.000
Cu 0.000 0.500 0.500
Cu 0.500 0.000 0.500
Re 0.500 0.500 0.000

=====

## two
## FeCu2Re (PBEsol)

Data for a relaxed structure of FeCu2Re.

Properties
Total magnetization (μB per formula unit): 2.60

a = 2.560 Å, b = 2.560 Å, c = 7.507 Å
α = 90.00°, β = 90.00°, γ = 90.00°
Fractional coordinates of all 4 atoms:
Fe 0.000 0.000 0.000
Cu 0.500 0.500 0.238
Cu 0.500 0.500 0.762
Re 0.000 0.000 0.500

=====

## three
## FeCu2Re (PBEsol)

Data for a relaxed structure of FeCu2Re.

Properties
Total magnetization (μB per formula unit): 2.77

a = 4.400 Å, b = 4.400 Å, c = 2.571 Å
α = 90.00°, β = 90.00°, γ = 90.00°
Fractional coordinates of all 4 atoms:
Fe 0.000 0.000 0.000
Cu 0.000 0.500 0.500
Cu 0.500 0.000 0.500
Re 0.500 0.500 0.000

=====

Which of them is most stable? Easy: two.

=====

## one
## Sc2FeCu (PBEsol)

Data for a relaxed structure of Sc2FeCu.

Properties
Total magnetization (μB per formula unit): 0.00

a = 4.426 Å, b = 4.426 Å, c = 4.426 Å
α = 60.00°, β = 60.00°, γ = 60.00°
Fractional coordinates of all 4 atoms:
Sc 0.250 0.250 0.250
Sc 0.750 0.750 0.750
Fe 0.000 0.000 0.000
Cu 0.500 0.500 0.500

=====

## two
## Sc2FeCu (PBEsol)

Data for a relaxed structure of Sc2FeCu.

Properties
Total magnetization (μB per formula unit): 1.97

a = 3.129 Å, b = 3.129 Å, c = 6.946 Å
α = 90.00°, β = 90.00°, γ = 90.00°
Fractional coordinates of all 4 atoms:
Sc 0.000 0.000 0.000
Sc 0.500 0.500 0.371
Fe 0.500 0.500 0.772
Cu 0.000 0.000 0.603

=====

Which of them is most stable? Easy: one.

=====

## one
## Tl2FeCu (PBEsol)

Data for a relaxed structure of Tl2FeCu.

Properties
Total magnetization (μB per formula unit): 2.25

a = 5.478 Å, b = 5.478 Å, c = 5.478 Å
α = 138.61°, β = 138.61°, γ = 59.98°
Fractional coordinates of all 4 atoms:
Tl 0.000 0.000 0.000
Tl 0.750 0.250 0.500
Fe 0.250 0.750 0.500
Cu 0.500 0.500 0.000

=====

## two
## Tl2FeCu (PBEsol)

Data for a relaxed structure of Tl2FeCu.

Properties
Total magnetization (μB per formula unit): 2.80

a = 3.150 Å, b = 3.150 Å, c = 7.591 Å
α = 90.00°, β = 90.00°, γ = 90.00°
Fractional coordinates of all 4 atoms:
Tl 0.000 0.000 0.000
Tl 0.500 0.500 0.363
Fe 0.500 0.500 0.758
Cu 0.000 0.000 0.610

=====

## three
## Tl2FeCu (PBEsol)

Data for a relaxed structure of Tl2FeCu.

Properties
Total magnetization (μB per formula unit): 2.44

a = 5.645 Å, b = 5.645 Å, c = 4.639 Å
α = 107.38°, β = 107.38°, γ = 30.74°
Fractional coordinates of all 4 atoms:
Tl 0.000 0.000 0.000
Tl 0.216 0.216 0.639
Fe 0.752 0.752 0.158
Cu 0.437 0.437 0.450

=====

Which of them is most stable? Easy: two.

=====

## one
## TlFe2Cu (PBEsol)

Data for a relaxed structure of TlFe2Cu.

Properties
Total magnetization (μB per formula unit): 5.26

a = 8.554 Å, b = 8.554 Å, c = 8.554 Å
α = 19.17°, β = 19.17°, γ = 19.17°
Fractional coordinates of all 4 atoms:
Tl 0.000 0.000 0.000
Fe 0.242 0.242 0.242
Fe 0.758 0.758 0.758
Cu 0.500 0.500 0.500

=====

## two
## TlFe2Cu (PBEsol)

Data for a relaxed structure of TlFe2Cu.

Properties
Total magnetization (μB per formula unit): 4.85

a = 3.711 Å, b = 3.711 Å, c = 3.997 Å
α = 90.00°, β = 90.00°, γ = 90.00°
Fractional coordinates of all 4 atoms:
Tl 0.000 0.000 0.000
Fe 0.000 0.500 0.500
Fe 0.500 0.000 0.500
Cu 0.500 0.500 0.000

=====

Which of them is most stable? Easy: two.

=====

## one
## TlFe2Cu (PBEsol)

Data for a relaxed structure of TlFe2Cu.

Properties
Total magnetization (μB per formula unit): 4.73

a = 4.280 Å, b = 4.280 Å, c = 4.280 Å
α = 60.00°, β = 60.00°, γ = 60.00°
Fractional coordinates of all 4 atoms:
Tl 0.000 0.000 0.000
Fe 0.250 0.250 0.250
Fe 0.750 0.750 0.750
Cu 0.500 0.500 0.500

=====

## two
## TlFe2Cu (PBEsol)

Data for a relaxed structure of TlFe2Cu.

Properties
Total magnetization (μB per formula unit): 5.06

a = 2.822 Å, b = 2.822 Å, c = 7.081 Å
α = 90.00°, β = 90.00°, γ = 90.00°
Fractional coordinates of all 4 atoms:
Tl 0.000 0.000 0.000
Fe 0.500 0.500 0.290
Fe 0.500 0.500 0.710
Cu 0.000 0.000 0.500

=====

Which of them is most stable? Easy: two.

=====

## one
## FeCuW2 (PBEsol)

Data for a relaxed structure of FeCuW2.

Properties
Total magnetization (μB per formula unit): 1.54

a = 2.602 Å, b = 4.262 Å, c = 4.855 Å
α = 90.00°, β = 97.20°, γ = 90.00°
Fractional coordinates of all 4 atoms:
Fe 0.000 0.000 0.000
Cu 0.037 0.500 0.728
W 0.433 0.000 0.511
W 0.663 0.500 0.207

=====

## two
## FeCuW2 (PBEsol)

Data for a relaxed structure of FeCuW2.

Properties
Total magnetization (μB per formula unit): 1.97

a = 4.706 Å, b = 4.706 Å, c = 4.706 Å
α = 133.56°, β = 133.56°, γ = 67.77°
Fractional coordinates of all 4 atoms:
Fe 0.000 0.000 0.000
Cu 0.250 0.750 0.500
W 0.500 0.500 0.000
W 0.750 0.250 0.500

=====

Which of them is most stable? Easy: one.